# Cu2Ge2Mo | Alexandria via LeMat-Bulk | PBE | relaxed
# * VASP energy: -5.441 eV per atom
# * excess energy over the best structure of this formula in the dataset: 33 meV/atom
# * space-group type: I4/mmm
data_Cu2Ge2Mo
_symmetry_space_group_name_H-M 'P 1'
_symmetry_Int_Tables_number 1
_symmetry_space_group_name_Hall 'P 1'
_cell_length_a 3.337
_cell_length_b 3.337
_cell_length_c 7.111
_cell_angle_alpha 76.43
_cell_angle_beta 76.43
_cell_angle_gamma 90.00
loop_
_atom_site_label
_atom_site_type_symbol
_atom_site_fract_x
_atom_site_fract_y
_atom_site_fract_z
Mo1 Mo 0.000 0.000 0.000
Ge1 Ge 0.398 0.398 0.203
Ge2 Ge 0.602 0.602 0.797
Cu1 Cu 0.750 0.250 0.500
Cu2 Cu 0.250 0.750 0.500

# CuGeMo2 | Alexandria via LeMat-Bulk | PBE | relaxed
# * VASP energy: -7.066 eV per atom
# * space-group type: I-42d
data_CuGeMo2
_symmetry_space_group_name_H-M 'P 1'
_symmetry_Int_Tables_number 1
_symmetry_space_group_name_Hall 'P 1'
_cell_length_a 6.909
_cell_length_b 6.909
_cell_length_c 5.558
_cell_angle_alpha 51.57
_cell_angle_beta 51.57
_cell_angle_gamma 90.00
loop_
_atom_site_label
_atom_site_type_symbol
_atom_site_fract_x
_atom_site_fract_y
_atom_site_fract_z
Mo1 Mo 0.631 0.125 0.250
Mo2 Mo 0.119 0.625 0.250
Mo3 Mo 0.375 0.369 0.750
Mo4 Mo 0.875 0.881 0.750
Ge1 Ge 0.000 0.000 0.000
Ge2 Ge 0.750 0.250 0.500
Cu1 Cu 0.500 0.500 0.000
Cu2 Cu 0.250 0.750 0.500

# CuGe2Mo | Alexandria via LeMat-Bulk | PBE | relaxed
# * VASP energy: -5.556 eV per atom
# * excess energy over the best structure of this formula in the dataset: 317 meV/atom
# * space-group type: I-42d
data_CuGe2Mo
_symmetry_space_group_name_H-M 'P 1'
_symmetry_Int_Tables_number 1
_symmetry_space_group_name_Hall 'P 1'
_cell_length_a 6.785
_cell_length_b 6.785
_cell_length_c 5.559
_cell_angle_alpha 52.39
_cell_angle_beta 52.39
_cell_angle_gamma 90.00
loop_
_atom_site_label
_atom_site_type_symbol
_atom_site_fract_x
_atom_site_fract_y
_atom_site_fract_z
Mo1 Mo 0.000 0.000 0.000
Mo2 Mo 0.750 0.250 0.500
Ge1 Ge 0.601 0.125 0.250
Ge2 Ge 0.149 0.625 0.250
Ge3 Ge 0.375 0.399 0.750
Ge4 Ge 0.875 0.851 0.750
Cu1 Cu 0.500 0.500 0.000
Cu2 Cu 0.250 0.750 0.500

# CuGeMo | Alexandria via LeMat-Bulk | PBE | relaxed
# * VASP energy: -6.281 eV per atom
# * excess energy over the best structure of this formula in the dataset: 0 meV/atom
# * space-group type: R-3m
data_CuGeMo
_symmetry_space_group_name_H-M 'P 1'
_symmetry_Int_Tables_number 1
_symmetry_space_group_name_Hall 'P 1'
_cell_length_a 4.008
_cell_length_b 4.008
_cell_length_c 7.166
_cell_angle_alpha 73.76
_cell_angle_beta 73.76
_cell_angle_gamma 60.00
loop_
_atom_site_label
_atom_site_type_symbol
_atom_site_fract_x
_atom_site_fract_y
_atom_site_fract_z
Ge1 Ge 0.575 0.575 0.274
Ge2 Ge 0.425 0.425 0.726
Mo1 Mo 0.294 0.294 0.118
Mo2 Mo 0.706 0.706 0.882
Cu1 Cu 0.860 0.860 0.419
Cu2 Cu 0.140 0.140 0.581

# CuGe3Mo | Alexandria via LeMat-Bulk | PBE | relaxed
# * VASP energy: -5.110 eV per atom
# * excess energy over the best structure of this formula in the dataset: 0 meV/atom
# * space-group type: Pm-3m
data_CuGe3Mo
_symmetry_space_group_name_H-M 'P 1'
_symmetry_Int_Tables_number 1
_symmetry_space_group_name_Hall 'P 1'
_cell_length_a 4.875
_cell_length_b 4.875
_cell_length_c 4.875
_cell_angle_alpha 90.00
_cell_angle_beta 90.00
_cell_angle_gamma 90.00
loop_
_atom_site_label
_atom_site_type_symbol
_atom_site_fract_x
_atom_site_fract_y
_atom_site_fract_z
Mo1 Mo 0.000 0.000 0.000
Ge1 Ge 0.000 0.500 0.000
Ge2 Ge 0.000 0.000 0.500
Ge3 Ge 0.500 0.000 0.000
Cu1 Cu 0.500 0.500 0.500

# CuGeMo | Alexandria via LeMat-Bulk | PBE | relaxed
# * VASP energy: -6.223 eV per atom
# * excess energy over the best structure of this formula in the dataset: 58 meV/atom
# * space-group type: I4mm
data_CuGeMo
_symmetry_space_group_name_H-M 'P 1'
_symmetry_Int_Tables_number 1
_symmetry_space_group_name_Hall 'P 1'
_cell_length_a 3.088
_cell_length_b 3.088
_cell_length_c 5.044
_cell_angle_alpha 107.82
_cell_angle_beta 107.82
_cell_angle_gamma 90.00
loop_
_atom_site_label
_atom_site_type_symbol
_atom_site_fract_x
_atom_site_fract_y
_atom_site_fract_z
Mo1 Mo 0.615 0.615 0.231
Ge1 Ge 0.294 0.294 0.588
Cu1 Cu 0.940 0.940 0.881

# Cu2Ge2Mo | Alexandria via LeMat-Bulk | PBE | relaxed
# * VASP energy: -5.474 eV per atom
# * excess energy over the best structure of this formula in the dataset: 0 meV/atom
# * space-group type: P4/mbm
data_Cu2Ge2Mo
_symmetry_space_group_name_H-M 'P 1'
_symmetry_Int_Tables_number 1
_symmetry_space_group_name_Hall 'P 1'
_cell_length_a 7.054
_cell_length_b 7.054
_cell_length_c 2.935
_cell_angle_alpha 90.00
_cell_angle_beta 90.00
_cell_angle_gamma 90.00
loop_
_atom_site_label
_atom_site_type_symbol
_atom_site_fract_x
_atom_site_fract_y
_atom_site_fract_z
Mo1 Mo 0.000 0.000 0.000
Mo2 Mo 0.500 0.500 0.000
Ge1 Ge 0.339 0.839 0.000
Ge2 Ge 0.839 0.661 0.000
Ge3 Ge 0.661 0.161 0.000
Ge4 Ge 0.161 0.339 0.000
Cu1 Cu 0.135 0.635 0.500
Cu2 Cu 0.635 0.865 0.500
Cu3 Cu 0.865 0.365 0.500
Cu4 Cu 0.365 0.135 0.500

# CuGe2Mo | Alexandria via LeMat-Bulk | PBE | relaxed
# * VASP energy: -5.710 eV per atom
# * excess energy over the best structure of this formula in the dataset: 163 meV/atom
# * space-group type: Fm-3m
data_CuGe2Mo
_symmetry_space_group_name_H-M 'P 1'
_symmetry_Int_Tables_number 1
_symmetry_space_group_name_Hall 'P 1'
_cell_length_a 4.418
_cell_length_b 4.418
_cell_length_c 4.418
_cell_angle_alpha 60.00
_cell_angle_beta 60.00
_cell_angle_gamma 60.00
loop_
_atom_site_label
_atom_site_type_symbol
_atom_site_fract_x
_atom_site_fract_y
_atom_site_fract_z
Mo1 Mo 0.500 0.500 0.500
Ge1 Ge 0.250 0.250 0.250
Ge2 Ge 0.750 0.750 0.750
Cu1 Cu 0.000 0.000 0.000